1.
Entry from Alexandria: a geometry-optimized Ac3PtPbCl structure (PBE).

Lattice parameters (Å, degrees): 8.4521 4.6370 11.0246 90.00 107.61 90.00
Fractional positions:
Ac  0.0545  0.2500  0.3613
Ac  0.2091  0.2500  0.9599
Ac  0.4360  0.7500  0.6432
Ac  0.5640  0.2500  0.3568
Ac  0.7909  0.7500  0.0401
Ac  0.9455  0.7500  0.6387
Pt  0.1940  0.2500  0.6443
Pt  0.8060  0.7500  0.3557
Pb  0.2315  0.7500  0.2018
Pb  0.7685  0.2500  0.7982
Cl  0.4039  0.7500  0.9023
Cl  0.5961  0.2500  0.0977

***

2.
Entry from Alexandria: a geometry-optimized RbAcPb2Cl8 structure (PBE).

Lattice parameters (Å, degrees): 6.8032 9.2174 7.0041 90.00 90.77 90.00
Fractional positions:
Rb  0.0000  0.0000  0.0000
Ac  0.0000  0.5000  0.0000
Pb  0.5000  0.2430  0.5000
Pb  0.5000  0.7570  0.5000
Cl  0.2420  0.2751  0.1663
Cl  0.2420  0.7249  0.1663
Cl  0.2619  0.5000  0.6714
Cl  0.2829  0.0000  0.6324
Cl  0.7171  0.0000  0.3676
Cl  0.7381  0.5000  0.3286
Cl  0.7580  0.2751  0.8337
Cl  0.7580  0.7249  0.8337

***

3.
Entry from Alexandria: a geometry-optimized RbAcPbCl6 structure (PBE).

Lattice parameters (Å, degrees): 7.0608 7.0608 13.8560 90.00 90.00 90.00
Fractional positions:
Rb  0.0000  0.0000  0.0000
Rb  0.5000  0.5000  0.5000
Ac  0.0000  0.0000  0.3342
Ac  0.5000  0.5000  0.8342
Pb  0.0000  0.0000  0.6685
Pb  0.5000  0.5000  0.1685
Cl  0.1773  0.1773  0.5006
Cl  0.2067  0.2067  0.1876
Cl  0.2105  0.2105  0.8176
Cl  0.2895  0.7105  0.3176
Cl  0.2933  0.7067  0.6876
Cl  0.3227  0.6773  0.0006
Cl  0.6773  0.3227  0.0006
Cl  0.7067  0.2933  0.6876
Cl  0.7105  0.2895  0.3176
Cl  0.7895  0.7895  0.8176
Cl  0.7933  0.7933  0.1876
Cl  0.8227  0.8227  0.5006

***

4.
Entry from Alexandria: a geometry-optimized Ac3RhPbCl structure (PBE).

Lattice parameters (Å, degrees): 8.3802 4.7532 10.5805 90.00 107.66 90.00
Fractional positions:
Ac  0.0528  0.2500  0.3654
Ac  0.2112  0.2500  0.9600
Ac  0.4205  0.7500  0.6341
Ac  0.5795  0.2500  0.3659
Ac  0.7888  0.7500  0.0400
Ac  0.9472  0.7500  0.6347
Rh  0.1933  0.2500  0.6446
Rh  0.8067  0.7500  0.3554
Pb  0.2425  0.7500  0.2167
Pb  0.7575  0.2500  0.7833
Cl  0.3998  0.7500  0.9068
Cl  0.6002  0.2500  0.0932

***

5.
Entry from Alexandria: a geometry-optimized Ac3RuPbCl structure (PBE).

Lattice parameters (Å, degrees): 8.2876 4.8846 10.1681 90.00 106.60 90.00
Fractional positions:
Ac  0.0498  0.2500  0.3670
Ac  0.2150  0.2500  0.9540
Ac  0.4144  0.7500  0.6199
Ac  0.5856  0.2500  0.3801
Ac  0.7850  0.7500  0.0460
Ac  0.9502  0.7500  0.6330
Ru  0.2167  0.2500  0.6358
Ru  0.7833  0.7500  0.3642
Pb  0.2473  0.7500  0.2245
Pb  0.7527  0.2500  0.7755
Cl  0.3988  0.7500  0.9074
Cl  0.6012  0.2500  0.0926

***

6.
Entry from Alexandria: a geometry-optimized Ac4SiPbCl2 structure (PBE).

Lattice parameters (Å, degrees): 7.5197 4.6903 8.2391 90.00 111.22 90.00
Fractional positions:
Ac  0.2400  0.0000  0.2326
Ac  0.2468  0.5000  0.7677
Ac  0.7532  0.5000  0.2323
Ac  0.7600  0.0000  0.7674
Si  0.0000  0.5000  0.0000
Pb  0.0000  0.0000  0.5000
Cl  0.5000  0.0000  0.0000
Cl  0.5000  0.5000  0.5000

***

7.
Entry from Alexandria: a geometry-optimized AcTlPbCl6 structure (PBE).

Lattice parameters (Å, degrees): 7.0225 7.0225 13.7239 90.00 90.00 90.00
Fractional positions:
Ac  0.0000  0.0000  0.0000
Ac  0.5000  0.5000  0.5000
Tl  0.0000  0.0000  0.6671
Tl  0.5000  0.5000  0.1671
Pb  0.0000  0.0000  0.3343
Pb  0.5000  0.5000  0.8343
Cl  0.1803  0.1803  0.1668
Cl  0.2055  0.2055  0.8502
Cl  0.2088  0.2088  0.4866
Cl  0.2912  0.7088  0.9866
Cl  0.2945  0.7055  0.3502
Cl  0.3197  0.6803  0.6668
Cl  0.6803  0.3197  0.6668
Cl  0.7055  0.2945  0.3502
Cl  0.7088  0.2912  0.9866
Cl  0.7912  0.7912  0.4866
Cl  0.7945  0.7945  0.8502
Cl  0.8197  0.8197  0.1668

***

8.
Entry from Alexandria: a geometry-optimized Ac2PdCl structure (PBE).

Lattice parameters (Å, degrees): 8.5012 8.5012 8.5012 30.03 30.03 30.03
Fractional positions:
Ac  0.0000  0.0000  0.0000
Ac  0.1976  0.1976  0.1976
Pd  0.5991  0.5991  0.5991
Cl  0.4290  0.4290  0.4290

Values from the calculation:
Polymorph energy (0 for the lowest one) = 23 meV per atom

***

9.
Entry from Alexandria: a geometry-optimized AcPdCl2 structure (PBE).

Lattice parameters (Å, degrees): 5.0826 5.0826 5.0826 60.00 60.00 60.00
Fractional positions:
Ac  0.0000  0.0000  0.0000
Pd  0.5000  0.5000  0.5000
Cl  0.2500  0.2500  0.2500
Cl  0.7500  0.7500  0.7500

***

10.
Entry from Alexandria: a geometry-optimized AcPdCl structure (PBE).

Lattice parameters (Å, degrees): 5.6506 5.6506 5.6506 138.93 138.93 59.48
Fractional positions:
Ac  0.0000  0.0000  0.0000
Pd  0.6420  0.6420  0.0000
Cl  0.3169  0.3169  0.0000

Values from the calculation:
Polymorph energy (0 for the lowest one) = 394 meV per atom

***

11.
Entry from Alexandria: a geometry-optimized Ac2PdCl structure (PBE).

Lattice parameters (Å, degrees): 8.3234 8.3234 8.3234 30.94 30.94 30.94
Fractional positions:
Ac  0.2356  0.2356  0.2356
Ac  0.7644  0.7644  0.7644
Pd  0.5000  0.5000  0.5000
Cl  0.0000  0.0000  0.0000

Values from the calculation:
Polymorph energy (0 for the lowest one) = 0 meV per atom

***

12.
Entry from Alexandria: a geometry-optimized Ac2PdCl structure (PBE).

Lattice parameters (Å, degrees): 3.7156 3.7156 8.5051 90.00 90.00 90.00
Fractional positions:
Ac  0.0000  0.0000  0.2207
Ac  0.0000  0.0000  0.7793
Pd  0.5000  0.5000  0.0000
Cl  0.5000  0.5000  0.5000

Values from the calculation:
Polymorph energy (0 for the lowest one) = 206 meV per atom

***

Number 1: ΔE_f (raw) -100.29 kJ per mole of atoms, M_tot 0.00 μB/cell. Number 2: ΔE_f (raw) -164.25 kJ per mole of atoms, M_tot 0.00 μB/cell. Number 3: ΔE_f (raw) -183.14 kJ per mole of atoms, M_tot 0.00 μB/cell. Number 4: ΔE_f (raw) -84.25 kJ per mole of atoms, M_tot 0.00 μB/cell. Number 5: ΔE_f (raw) -62.74 kJ per mole of atoms, M_tot 0.00 μB/cell. Number 6: ΔE_f (raw) -104.83 kJ per mole of atoms, M_tot 0.00 μB/cell. Number 7: ΔE_f (raw) -162.41 kJ per mole of atoms, M_tot 0.00 μB/cell. Number 8: ΔE_f (raw) -111.47 kJ per mole of atoms, M_tot 0.00 μB/cell. Number 9: ΔE_f (raw) -116.12 kJ per mole of atoms, M_tot 0.62 μB/cell. Number 10: ΔE_f (raw) -105.01 kJ per mole of atoms, M_tot 0.00 μB/cell. Number 11: ΔE_f (raw) -113.67 kJ per mole of atoms, M_tot 0.00 μB/cell. Number 12: ΔE_f (raw) -93.77 kJ per mole of atoms, M_tot 0.00 μB/cell.